No. 1
# PBE UCuRu2, optimized geometry
# - energy (eV/atom) = -8.764
# - Fermi-level density of states (states/eV/cell) = 4.14
data_UCuRu2
_chemical_formula_sum 'U1 Cu1 Ru2'
_space_group_name_H-M_alt 'P 1'
_space_group_IT_number 1
_cell_length_a 3.6762
_cell_length_b 4.1239
_cell_length_c 4.1239
_cell_angle_alpha 90.00
_cell_angle_beta 90.00
_cell_angle_gamma 90.00
loop_
_space_group_symop_operation_xyz
'x,y,z'
loop_
_atom_site_label
_atom_site_type_symbol
_atom_site_fract_x
_atom_site_fract_y
_atom_site_fract_z
_atom_site_occupancy
Ru1 Ru 0.0000 0.0000 0.5000 1
Ru2 Ru 0.0000 0.5000 0.0000 1
U1 U 0.5000 0.5000 0.5000 1
Cu1 Cu 0.5000 0.0000 0.0000 1

---

No. 2
# PBE Ba2LiAgTe, optimized geometry
# - energy (eV/atom) = -2.798
# - formation energy from raw total energies (eV/atom) = -0.448
# - Fermi-level density of states (states/eV/cell) = 1.80
data_Ba2LiAgTe
_chemical_formula_sum 'Ba2 Li1 Ag1 Te1'
_space_group_name_H-M_alt 'P 1'
_space_group_IT_number 1
_cell_length_a 6.2258
_cell_length_b 4.6478
_cell_length_c 6.2258
_cell_angle_alpha 90.00
_cell_angle_beta 90.00
_cell_angle_gamma 90.00
loop_
_space_group_symop_operation_xyz
'x,y,z'
loop_
_atom_site_label
_atom_site_type_symbol
_atom_site_fract_x
_atom_site_fract_y
_atom_site_fract_z
_atom_site_occupancy
Te1 Te 0.5000 0.5000 0.5000 1
Ba1 Ba 0.0000 0.0000 0.5000 1
Ba2 Ba 0.5000 0.0000 0.0000 1
Ag1 Ag 0.0000 0.5000 0.0000 1
Li1 Li 0.0000 0.0000 0.0000 1

---

No. 3
# PBE MnPHCS, optimized geometry
# - energy (eV/atom) = -6.001
# - Fermi-level density of states (states/eV/cell) = 1.94
data_MnPHCS
_chemical_formula_sum 'Mn1 P1 H1 C1 S1'
_space_group_name_H-M_alt 'P 1'
_space_group_IT_number 1
_cell_length_a 3.6356
_cell_length_b 3.7895
_cell_length_c 6.6576
_cell_angle_alpha 102.46
_cell_angle_beta 90.03
_cell_angle_gamma 118.68
loop_
_space_group_symop_operation_xyz
'x,y,z'
loop_
_atom_site_label
_atom_site_type_symbol
_atom_site_fract_x
_atom_site_fract_y
_atom_site_fract_z
_atom_site_occupancy
Mn1 Mn 0.2493 0.1644 0.3439 1
P1 P 0.6598 0.9860 0.1074 1
H1 H 0.4644 0.5954 0.9565 1
C1 C 0.5555 0.7770 0.3392 1
S1 S 0.7553 0.1760 0.5714 1